Here is an optimized crystal structure of NaHO2F from Alexandria. Energies are from PBE-GGA.

Lattice parameters (Å, degrees): 4.6968 4.6968 4.2437 90.00 90.00 90.00
With the nearest neighbours (Å) after each atom.
Fractional coordinates of all 5 atoms:
Na: 0.0000 0.0000 0.0000  2 F 2.12, 4 O 2.35
H: 0.5000 0.5000 0.5000  8 O 3.17, 4 F 3.32
O: 0.0000 0.5000 0.0000  2 Na 2.35
O: 0.5000 0.0000 0.0000  2 Na 2.35
F: 0.0000 0.0000 0.5000  2 Na 2.12

- Space-group type: No. 123
- Final energy: -2.690 eV/atom
- Calculated density: 1.33 Mg/m³